The following is a PBE calculation of a geometry-optimized TbCdRh structure, from Alexandria.

ΔH_f (0 K) = -586 meV/atom
Final energy = -4.8853 eV/atom

a = 3.868 Å, b = 5.405 Å, c = 7.044 Å
α = 75.65°, β = 74.07°, γ = 69.03°
Fractional positions:
1 Tb 0.572 0.695 0.161
2 Tb 0.428 0.305 0.839
3 Rh 0.147 0.869 0.837
4 Rh 0.853 0.131 0.163
5 Cd 0.166 0.228 0.441
6 Cd 0.834 0.772 0.559

The following is a PBE calculation of a geometry-optimized Tb6Cd2Rh structure, from Alexandria.

ΔH_f (0 K) = -248 meV/atom
Final energy = -4.3555 eV/atom

a = 6.997 Å, b = 7.282 Å, c = 10.421 Å
α = 90.00°, β = 89.53°, γ = 90.00°
Fractional positions:
1 Tb 0.802 0.688 0.543
2 Tb 0.098 0.000 0.753
3 Tb 0.181 0.300 0.039
4 Tb 0.598 0.500 0.253
5 Tb 0.402 0.500 0.747
6 Tb 0.319 0.800 0.461
7 Tb 0.681 0.200 0.539
8 Tb 0.198 0.312 0.457
9 Tb 0.902 0.000 0.247
10 Tb 0.698 0.188 0.957
11 Tb 0.302 0.812 0.043
12 Tb 0.819 0.700 0.961
13 Cd 0.461 0.083 0.250
14 Cd 0.539 0.917 0.750
15 Cd 0.961 0.417 0.750
16 Cd 0.039 0.583 0.250
17 Rh 0.000 0.000 0.500
18 Rh 0.500 0.500 0.000

The following is a PBE calculation of a geometry-optimized Tb4CdRh structure, from Alexandria.

ΔH_f (0 K) = -491 meV/atom
Final energy = -4.9554 eV/atom

a = 9.649 Å, b = 9.649 Å, c = 9.649 Å
α = 60.00°, β = 60.00°, γ = 60.00°
Fractional positions:
1 Rh 0.108 0.677 0.108
2 Rh 0.677 0.108 0.108
3 Rh 0.108 0.108 0.108
4 Rh 0.108 0.108 0.677
5 Tb 0.900 0.900 0.299
6 Tb 0.314 0.686 0.314
7 Tb 0.439 0.061 0.439
8 Tb 0.061 0.439 0.061
9 Tb 0.900 0.299 0.900
10 Tb 0.686 0.686 0.314
11 Tb 0.061 0.439 0.439
12 Tb 0.299 0.900 0.900
13 Tb 0.900 0.900 0.900
14 Tb 0.439 0.061 0.061
15 Tb 0.686 0.314 0.686
16 Tb 0.314 0.314 0.686
17 Tb 0.686 0.314 0.314
18 Tb 0.314 0.686 0.686
19 Tb 0.439 0.439 0.061
20 Tb 0.061 0.061 0.439
21 Cd 0.993 0.669 0.669
22 Cd 0.669 0.669 0.669
23 Cd 0.669 0.669 0.993
24 Cd 0.669 0.993 0.669

The following is a PBE calculation of a geometry-optimized Tb3Cd3Rh2 structure, from Alexandria.

ΔH_f (0 K) = -578 meV/atom
Final energy = -4.4949 eV/atom

a = 3.659 Å, b = 7.616 Å, c = 7.616 Å
α = 120.00°, β = 90.00°, γ = 90.00°
Fractional positions:
1 Tb 0.500 0.000 0.575
2 Tb 0.500 0.425 0.425
3 Tb 0.500 0.575 0.000
4 Cd 0.000 0.230 0.000
5 Cd 0.000 0.000 0.230
6 Cd 0.000 0.770 0.770
7 Rh 0.000 0.333 0.667
8 Rh 0.000 0.667 0.333

The following is a PBE calculation of a geometry-optimized Tb2Cd2Rh3 structure, from Alexandria.

ΔH_f (0 K) = -551 meV/atom
Final energy = -5.2857 eV/atom

a = 4.732 Å, b = 4.749 Å, c = 7.859 Å
α = 90.28°, β = 107.72°, γ = 119.75°
Fractional positions:
1 Cd 0.264 0.134 0.393
2 Cd 0.736 0.866 0.607
3 Tb 0.771 0.386 0.155
4 Tb 0.229 0.614 0.845
5 Rh 0.509 0.252 0.767
6 Rh 0.000 0.000 0.000
7 Rh 0.491 0.748 0.233

The following is a PBE calculation of a geometry-optimized Tb6CdRh5 structure, from Alexandria.

ΔH_f (0 K) = -733 meV/atom
Final energy = -6.1878 eV/atom

a = 4.893 Å, b = 7.083 Å, c = 7.754 Å
α = 90.00°, β = 108.39°, γ = 90.00°
Fractional positions:
1 Tb 0.172 0.746 0.344
2 Tb 0.828 0.254 0.656
3 Tb 0.828 0.746 0.656
4 Tb 0.500 0.736 0.000
5 Tb 0.172 0.254 0.344
6 Tb 0.500 0.264 0.000
7 Rh 0.000 0.500 0.000
8 Rh 0.332 0.500 0.664
9 Rh 0.668 0.500 0.336
10 Rh 0.662 0.000 0.325
11 Rh 0.338 0.000 0.675
12 Cd 0.000 0.000 0.000

The following is a PBE calculation of a geometry-optimized Tb6CdRh structure, from Alexandria.

ΔH_f (0 K) = -62 meV/atom
Final energy = -4.5685 eV/atom

a = 6.900 Å, b = 6.933 Å, c = 7.422 Å
α = 62.46°, β = 62.62°, γ = 60.07°
Fractional positions:
1 Tb 0.580 0.214 0.248
2 Tb 0.959 0.580 0.247
3 Tb 0.216 0.961 0.248
4 Tb 0.041 0.420 0.753
5 Tb 0.784 0.039 0.752
6 Tb 0.420 0.786 0.752
7 Rh 0.000 0.000 0.000
8 Cd 0.500 0.500 0.500

The following is a PBE calculation of a geometry-optimized Tb7CdRh4 structure, from Alexandria.

ΔH_f (0 K) = -444 meV/atom
Final energy = -5.6720 eV/atom

a = 5.522 Å, b = 8.462 Å, c = 7.299 Å
α = 75.02°, β = 67.77°, γ = 70.96°
Fractional positions:
1 Cd 0.000 0.000 0.000
2 Tb 0.323 0.627 0.727
3 Tb 0.500 0.000 0.000
4 Tb 0.677 0.373 0.273
5 Tb 0.923 0.374 0.780
6 Tb 0.790 0.880 0.540
7 Tb 0.077 0.626 0.220
8 Tb 0.210 0.120 0.460
9 Rh 0.298 0.342 0.063
10 Rh 0.566 0.222 0.646
11 Rh 0.434 0.778 0.354
12 Rh 0.702 0.658 0.937

The following is a PBE calculation of a geometry-optimized Tb3Cd2Rh3 structure, from Alexandria.

ΔH_f (0 K) = -599 meV/atom
Final energy = -5.3210 eV/atom

a = 5.785 Å, b = 8.298 Å, c = 8.298 Å
α = 120.00°, β = 90.00°, γ = 90.00°
Fractional positions:
1 Tb 0.250 0.276 0.276
2 Tb 0.750 0.724 0.724
3 Tb 0.750 0.000 0.276
4 Tb 0.250 0.724 0.000
5 Tb 0.250 0.000 0.724
6 Tb 0.750 0.276 0.000
7 Rh 0.250 0.000 0.383
8 Rh 0.750 0.383 0.383
9 Rh 0.750 0.000 0.617
10 Rh 0.750 0.617 0.000
11 Rh 0.250 0.617 0.617
12 Rh 0.250 0.383 0.000
13 Cd 0.500 0.333 0.667
14 Cd 0.500 0.667 0.333
15 Cd 0.000 0.333 0.667
16 Cd 0.000 0.667 0.333

The following is a PBE calculation of a geometry-optimized Tb8CdRh2 structure, from Alexandria.

ΔH_f (0 K) = -322 meV/atom
Final energy = -5.1091 eV/atom

a = 5.508 Å, b = 7.972 Å, c = 7.972 Å
α = 114.56°, β = 97.50°, γ = 97.50°
Fractional positions:
1 Cd 0.500 0.000 0.000
2 Tb 0.305 0.610 0.610
3 Tb 0.073 0.330 0.076
4 Tb 0.500 0.753 0.247
5 Tb 0.500 0.247 0.753
6 Tb 0.927 0.670 0.924
7 Tb 0.073 0.076 0.330
8 Tb 0.695 0.390 0.390
9 Tb 0.927 0.924 0.670
10 Rh 0.000 0.699 0.301
11 Rh 0.000 0.301 0.699

The following is a PBE calculation of a geometry-optimized Tb12CdRh6 structure, from Alexandria.

ΔH_f (0 K) = -564 meV/atom
Final energy = -5.8584 eV/atom

a = 8.596 Å, b = 8.596 Å, c = 8.596 Å
α = 109.47°, β = 109.47°, γ = 109.47°
Fractional positions:
1 Rh 0.131 0.631 0.500
2 Rh 0.369 0.500 0.869
3 Rh 0.500 0.869 0.369
4 Rh 0.869 0.369 0.500
5 Rh 0.500 0.131 0.631
6 Rh 0.631 0.500 0.131
7 Tb 0.698 0.887 0.188
8 Tb 0.188 0.302 0.490
9 Tb 0.188 0.698 0.887
10 Tb 0.887 0.188 0.698
11 Tb 0.510 0.812 0.698
12 Tb 0.812 0.302 0.113
13 Tb 0.812 0.698 0.510
14 Tb 0.490 0.188 0.302
15 Tb 0.698 0.510 0.812
16 Tb 0.113 0.812 0.302
17 Tb 0.302 0.490 0.188
18 Tb 0.302 0.113 0.812
19 Cd 0.000 0.000 0.000

The following is a PBE calculation of a geometry-optimized Tb4CdRh structure, from Alexandria.

ΔH_f (0 K) = -392 meV/atom
Final energy = -4.8570 eV/atom

a = 6.120 Å, b = 9.146 Å, c = 7.776 Å
α = 115.83°, β = 99.54°, γ = 112.79°
Fractional positions:
1 Tb 0.613 0.066 0.345
2 Tb 0.768 0.721 0.655
3 Tb 0.096 0.203 0.834
4 Tb 0.387 0.934 0.655
5 Tb 0.232 0.279 0.345
6 Tb 0.237 0.630 0.834
7 Tb 0.904 0.797 0.166
8 Tb 0.763 0.370 0.166
9 Cd 0.372 0.622 0.245
10 Cd 0.628 0.378 0.755
11 Rh 0.250 0.000 0.000
12 Rh 0.750 0.000 0.000

The following is a PBE calculation of a geometry-optimized TbCd3Rh structure, from Alexandria.

ΔH_f (0 K) = -115 meV/atom
Final energy = -3.0602 eV/atom

a = 5.422 Å, b = 5.422 Å, c = 10.163 Å
α = 105.47°, β = 105.47°, γ = 90.00°
Fractional positions:
1 Cd 0.123 0.872 0.745
2 Cd 0.128 0.378 0.255
3 Cd 0.128 0.877 0.255
4 Cd 0.622 0.872 0.745
5 Cd 0.281 0.281 0.562
6 Cd 0.719 0.719 0.438
7 Tb 0.965 0.465 0.929
8 Tb 0.535 0.035 0.071
9 Rh 0.000 0.000 0.000
10 Rh 0.250 0.750 0.500

The following is a PBE calculation of a geometry-optimized TbCd3Rh structure, from Alexandria.

ΔH_f (0 K) = -333 meV/atom
Final energy = -3.2781 eV/atom

a = 4.046 Å, b = 9.393 Å, c = 11.931 Å
α = 90.00°, β = 90.00°, γ = 90.00°
Fractional positions:
1 Tb 0.250 0.695 0.487
2 Tb 0.750 0.805 0.987
3 Tb 0.750 0.305 0.513
4 Tb 0.250 0.195 0.013
5 Cd 0.250 0.940 0.787
6 Cd 0.250 0.819 0.208
7 Cd 0.750 0.181 0.792
8 Cd 0.750 0.560 0.287
9 Cd 0.250 0.319 0.292
10 Cd 0.750 0.060 0.213
11 Cd 0.750 0.457 0.913
12 Cd 0.250 0.043 0.413
13 Cd 0.750 0.957 0.587
14 Cd 0.750 0.681 0.708
15 Cd 0.250 0.543 0.087
16 Cd 0.250 0.440 0.713
17 Rh 0.250 0.168 0.628
18 Rh 0.750 0.332 0.128
19 Rh 0.250 0.668 0.872
20 Rh 0.750 0.832 0.372

The following is a PBE calculation of a geometry-optimized Tb3Cd2Rh structure, from Alexandria.

ΔH_f (0 K) = -498 meV/atom
Final energy = -4.3434 eV/atom

a = 5.093 Å, b = 8.055 Å, c = 7.500 Å
α = 90.00°, β = 90.00°, γ = 71.56°
Fractional positions:
1 Tb 0.500 0.000 0.765
2 Tb 0.826 0.348 0.776
3 Tb 0.174 0.652 0.776
4 Tb 0.174 0.652 0.224
5 Tb 0.500 0.000 0.235
6 Tb 0.826 0.348 0.224
7 Cd 0.334 0.330 0.500
8 Cd 0.000 0.000 0.000
9 Cd 0.666 0.670 0.500
10 Cd 0.000 0.000 0.500
11 Rh 0.656 0.687 0.000
12 Rh 0.344 0.313 0.000

The following is a PBE calculation of a geometry-optimized Tb3CdRh structure, from Alexandria.

ΔH_f (0 K) = -435 meV/atom
Final energy = -4.8668 eV/atom

a = 4.065 Å, b = 8.143 Å, c = 8.979 Å
α = 74.03°, β = 76.92°, γ = 75.55°
Fractional positions:
1 Rh 0.768 0.376 0.087
2 Rh 0.232 0.624 0.913
3 Tb 0.589 0.771 0.050
4 Tb 0.138 0.439 0.285
5 Tb 0.411 0.229 0.950
6 Tb 0.831 0.038 0.300
7 Tb 0.169 0.962 0.700
8 Tb 0.862 0.561 0.715
9 Cd 0.428 0.717 0.427
10 Cd 0.572 0.283 0.573

The following is a PBE calculation of a geometry-optimized TbCdRh structure, from Alexandria.

ΔH_f (0 K) = -408 meV/atom
Final energy = -4.7074 eV/atom

a = 3.382 Å, b = 4.693 Å, c = 4.693 Å
α = 120.00°, β = 90.00°, γ = 90.00°
Fractional positions:
1 Rh 0.167 0.333 0.667
2 Cd 0.167 0.000 0.000
3 Tb 0.667 0.667 0.333

The following is a PBE calculation of a geometry-optimized TbCdRh structure, from Alexandria.

ΔH_f (0 K) = -484 meV/atom
Final energy = -4.7826 eV/atom

a = 3.533 Å, b = 3.533 Å, c = 5.639 Å
α = 108.25°, β = 108.25°, γ = 90.00°
Fractional positions:
1 Tb 0.932 0.932 0.863
2 Rh 0.287 0.287 0.573
3 Cd 0.632 0.632 0.264

The following is a PBE calculation of a geometry-optimized Tb3Cd5Rh2 structure, from Alexandria.

ΔH_f (0 K) = -299 meV/atom
Final energy = -3.6163 eV/atom

a = 6.011 Å, b = 9.389 Å, c = 9.389 Å
α = 88.39°, β = 71.33°, γ = 71.33°
Fractional positions:
1 Cd 0.503 0.747 0.747
2 Cd 0.750 0.500 0.500
3 Cd 0.003 0.747 0.747
4 Cd 0.376 0.778 0.469
5 Cd 0.624 0.222 0.531
6 Cd 0.497 0.253 0.253
7 Cd 0.997 0.253 0.253
8 Cd 0.876 0.469 0.778
9 Cd 0.124 0.531 0.222
10 Cd 0.250 0.500 0.500
11 Tb 0.387 0.347 0.878
12 Tb 0.250 0.000 0.000
13 Tb 0.887 0.878 0.347
14 Tb 0.113 0.122 0.653
15 Tb 0.750 0.000 0.000
16 Tb 0.613 0.653 0.122
17 Rh 0.383 0.975 0.259
18 Rh 0.883 0.259 0.975
19 Rh 0.617 0.025 0.741
20 Rh 0.117 0.741 0.025

The following is a PBE calculation of a geometry-optimized Tb5CdRh6 structure, from Alexandria.

ΔH_f (0 K) = -765 meV/atom
Final energy = -6.4460 eV/atom

a = 4.786 Å, b = 6.852 Å, c = 7.577 Å
α = 90.00°, β = 71.59°, γ = 90.00°
Fractional positions:
1 Rh 0.500 0.258 0.000
2 Rh 0.168 0.751 0.664
3 Rh 0.168 0.249 0.664
4 Rh 0.500 0.742 0.000
5 Rh 0.832 0.751 0.336
6 Rh 0.832 0.249 0.336
7 Tb 0.000 0.500 0.000
8 Tb 0.334 0.500 0.333
9 Tb 0.342 0.000 0.317
10 Tb 0.658 0.000 0.683
11 Tb 0.666 0.500 0.667
12 Cd 0.000 0.000 0.000